Material: TaNb2HRh
Method: DFT, PBE
State: relaxed

abc: 4.027 4.027 4.403
angles: 90.00 90.00 90.00
Atoms (fractional coordinates):
Ta 0.000 0.000 0.000
Nb 0.000 0.500 0.500
Nb 0.500 0.000 0.500
H 0.000 0.000 0.500
Rh 0.500 0.500 0.000

Computed properties:
The magnetic moment comes out at 0.00 μB/f.u. The final energy is -8.6675 eV per atom. Its symmetry is P4/mmm (123).